# HoTiF5

Crystalline HoTiF5 at its relaxed geometry (PBE, Alexandria via LeMat-Bulk).

Unit cell a=5.7455 b=5.7455 c=7.5405 alpha=108.60 beta=108.60 gamma=74.51
Atoms (fractional coordinates):
Ho 0.0463 0.9537 0.7500
Ho 0.9537 0.0463 0.2500
Ti 0.5000 0.5000 0.0000
Ti 0.5000 0.5000 0.5000
F 0.1740 0.8152 0.0357
F 0.1848 0.8260 0.4643
F 0.2253 0.2855 0.3731
F 0.2855 0.2253 0.8731
F 0.3709 0.6291 0.7500
F 0.6291 0.3709 0.2500
F 0.7145 0.7747 0.1269
F 0.7747 0.7145 0.6269
F 0.8152 0.1740 0.5357
F 0.8260 0.1848 0.9643

**Theoretical density**: 4.7 g/cm3
**Size of the total moment**: 4.00 μB/cell
**E_tot**: -6.632 eV per atom